The following is a PBE calculation of crystalline RbNbBr2 at its relaxed geometry, from Alexandria via LeMat-Bulk.

The space group is Fm-3m (No. 225) and the conventional cell measures 7.731, 7.731 and 7.731 Å, with angles of 90.00, 90.00 and 90.00 degrees. Symmetry generates all atoms from Rb at (0.000, 0.000, 0.000), Nb at (0.000, 0.000, 0.500) and Br at (0.250, 0.250, 0.250).

As for the formation energy from raw total energies: -0.0202 eV per atom. The value obtained for the total moment is 4.0 μB per formula unit. For the energy above the lowest structure with this stoichiometry, the calculation gives 221 meV per atom. Its raw total energy is -3.6159 eV per atom.



The following is a PBE calculation of crystalline RbNbBr3 at its relaxed geometry, from Alexandria via LeMat-Bulk.

The space group is P-1 (No. 2) and the conventional cell measures 3.807, 9.021 and 9.549 Å, with angles of 74.08, 89.86 and 89.82 degrees. Symmetry generates all atoms from Rb at (0.249, 0.205, 0.097), Nb at (0.249, 0.410, 0.600), Br at (0.250, 0.107, 0.777), Br at (0.250, 0.707, 0.535) and Br at (0.251, 0.554, 0.180).

As for the formation energy from raw total energies: -1.0340 eV per atom. The value obtained for the total moment is 0.0 μB per formula unit. For the energy above the lowest structure with this stoichiometry, the calculation gives 0 meV per atom. Its raw total energy is -4.2452 eV per atom.



The following is a PBE calculation of crystalline Rb2NbBr7 at its relaxed geometry, from Alexandria via LeMat-Bulk.

The space group is Fm-3m (No. 225) and the conventional cell measures 11.880, 11.880 and 11.880 Å, with angles of 90.00, 90.00 and 90.00 degrees. Symmetry generates all atoms from Rb at (0.250, 0.250, 0.250), Nb at (0.000, 0.000, 0.000), Br at (0.000, 0.000, 0.216) and Br at (0.000, 0.000, 0.500).

As for the formation energy from raw total energies: -1.0634 eV per atom. The value obtained for the total moment is 0.0 μB per formula unit. For the energy above the lowest structure with this stoichiometry, the calculation gives 62 meV per atom. Its raw total energy is -3.4349 eV per atom.



The following is a PBE calculation of crystalline Rb2NbBr8 at its relaxed geometry, from Alexandria via LeMat-Bulk.

The space group is C2/m (No. 12) and the conventional cell measures 14.345, 11.607 and 6.106 Å, with angles of 90.00, 103.65 and 90.00 degrees. Symmetry generates all atoms from Rb at (0.211, 0.000, 0.108), Nb at (0.000, 0.500, 0.000), Br at (0.001, 0.000, 0.258), Br at (0.071, 0.344, 0.797) and Br at (0.155, 0.500, 0.315).

As for the formation energy from raw total energies: -1.0523 eV per atom. The value obtained for the total moment is 0.1 μB per formula unit. Its raw total energy is -3.3603 eV per atom.



The following is a PBE calculation of crystalline RbNb2Br at its relaxed geometry, from Alexandria via LeMat-Bulk.

The space group is I-42d (No. 122) and the conventional cell measures 4.435, 4.435 and 23.801 Å, with angles of 90.00, 90.00 and 90.00 degrees. Symmetry generates all atoms from Rb at (0.000, 0.000, 0.000), Nb at (0.113, 0.750, 0.625) and Br at (0.000, 0.000, 0.500).

As for the formation energy from raw total energies: 0.9205 eV per atom. The value obtained for the total moment is 0.0 μB per formula unit. For the energy above the lowest structure with this stoichiometry, the calculation gives 0 meV per atom. Its raw total energy is -4.7745 eV per atom.



The following is a PBE calculation of crystalline RbNb3Br at its relaxed geometry, from Alexandria via LeMat-Bulk.

The space group is Pm-3m (No. 221) and the conventional cell measures 4.980, 4.980 and 4.980 Å, with angles of 90.00, 90.00 and 90.00 degrees. Symmetry generates all atoms from Rb at (0.000, 0.000, 0.000), Nb at (0.000, 0.500, 0.500) and Br at (0.500, 0.500, 0.500).

As for the formation energy from raw total energies: 1.5810 eV per atom. The value obtained for the total moment is 2.4 μB per formula unit. For the energy above the lowest structure with this stoichiometry, the calculation gives 0 meV per atom. Its raw total energy is -4.9889 eV per atom.



The following is a PBE calculation of crystalline RbNb4Br11 at its relaxed geometry, from Alexandria via LeMat-Bulk.

The space group is Pmma (No. 51) and the conventional cell measures 17.042, 7.393 and 7.347 Å, with angles of 90.00, 90.00 and 90.00 degrees. Symmetry generates all atoms from Rb at (0.250, 0.000, 0.003), Nb at (0.000, 0.292, 0.500), Nb at (0.139, 0.500, 0.384), Br at (0.078, 0.247, 0.190), Br at (0.085, 0.000, 0.633), Br at (0.086, 0.500, 0.713), Br at (0.250, 0.265, 0.516) and Br at (0.250, 0.500, 0.101).

As for the formation energy from raw total energies: -0.9994 eV per atom. The value obtained for the total moment is 0.0 μB per formula unit. Its raw total energy is -4.7274 eV per atom.



The following is a PBE calculation of crystalline Rb2NbBr4 at its relaxed geometry, from Alexandria via LeMat-Bulk.

The space group is I4/mmm (No. 139) and the conventional cell measures 5.464, 5.464 and 17.198 Å, with angles of 90.00, 90.00 and 90.00 degrees. Symmetry generates all atoms from Rb at (0.000, 0.000, 0.140), Nb at (0.000, 0.000, 0.500), Br at (0.000, 0.000, 0.341) and Br at (0.000, 0.500, 0.000).

As for the formation energy from raw total energies: -1.1448 eV per atom. The value obtained for the total moment is 3.0 μB per formula unit. Its raw total energy is -3.8157 eV per atom.



The following is a PBE calculation of crystalline RbNb2Br at its relaxed geometry, from Alexandria via LeMat-Bulk.

The space group is Fm-3m (No. 225) and the conventional cell measures 7.046, 7.046 and 7.046 Å, with angles of 90.00, 90.00 and 90.00 degrees. Symmetry generates all atoms from Rb at (0.000, 0.000, 0.000), Nb at (0.250, 0.250, 0.250) and Br at (0.000, 0.000, 0.500).

As for the formation energy from raw total energies: 1.8478 eV per atom. The value obtained for the total moment is 1.6 μB per formula unit. For the energy above the lowest structure with this stoichiometry, the calculation gives 927 meV per atom. Its raw total energy is -3.8472 eV per atom.



The following is a PBE calculation of crystalline Rb2NbReBr6 at its relaxed geometry, from Alexandria via LeMat-Bulk.

The space group is I4/mmm (No. 139) and the conventional cell measures 7.530, 7.530 and 10.672 Å, with angles of 90.00, 90.00 and 90.00 degrees. Symmetry generates all atoms from Rb at (0.000, 0.500, 0.250), Nb at (0.000, 0.000, 0.000), Re at (0.000, 0.000, 0.500), Br at (0.000, 0.000, 0.256) and Br at (0.244, 0.244, 0.500).

As for the formation energy from raw total energies: -0.5355 eV per atom. The value obtained for the total moment is 2.0 μB per formula unit. Its raw total energy is -3.9845 eV per atom.



The following is a PBE calculation of crystalline Rb2NbRhBr6 at its relaxed geometry, from Alexandria via LeMat-Bulk.

The space group is I4/mmm (No. 139) and the conventional cell measures 7.611, 7.611 and 10.620 Å, with angles of 90.00, 90.00 and 90.00 degrees. Symmetry generates all atoms from Rb at (0.000, 0.500, 0.250), Nb at (0.000, 0.000, 0.000), Rh at (0.000, 0.000, 0.500), Br at (0.000, 0.000, 0.250) and Br at (0.247, 0.247, 0.000).

As for the formation energy from raw total energies: -0.8430 eV per atom. The value obtained for the total moment is 1.3 μB per formula unit. Its raw total energy is -3.7824 eV per atom.



The following is a PBE calculation of crystalline Rb2NbRuBr6 at its relaxed geometry, from Alexandria via LeMat-Bulk.

The space group is I4/mmm (No. 139) and the conventional cell measures 7.556, 7.556 and 10.602 Å, with angles of 90.00, 90.00 and 90.00 degrees. Symmetry generates all atoms from Rb at (0.000, 0.500, 0.250), Nb at (0.000, 0.000, 0.000), Ru at (0.000, 0.000, 0.500), Br at (0.000, 0.000, 0.252) and Br at (0.249, 0.249, 0.500).

As for the formation energy from raw total energies: -0.7397 eV per atom. The value obtained for the total moment is 3.0 μB per formula unit. Its raw total energy is -3.8715 eV per atom.



Question: formation energy from raw total energies of number 5 (RbNb2Br)?
Answer: 0.9205 eV per atom